[1]
A relaxed structure of ZrTaTl2, computed with PBE.

Computed properties:
Crystal system ... tetragonal
Total energy ... -24.0 eV for the cell shown
SG ... P4/mmm (123)
E above lowest polymorph ... 0.015 eV per atom
Formation energy ... 0.296 eV/atom

```
4
Lattice="3.0901 0.0000 0.0000 0.0000 3.0901 0.0000 0.0000 0.0000 9.0163" Properties=species:S:1:pos:R:3 pbc="T T T"
Zr 0.0000 0.0000 0.0000
Ta 0.0000 0.0000 4.5081
Tl 1.5450 1.5450 2.3148
Tl 1.5450 1.5450 6.7015
```

=====

[2]
A relaxed structure of Tm4Ta, computed with PBE.

Computed properties:
Crystal system ... cubic
Total energy ... -26.7 eV for the cell shown
SG ... Pm-3m (221)
Formation energy ... 0.611 eV/atom

```
5
Lattice="5.4296 0.0000 0.0000 0.0000 5.4296 0.0000 0.0000 0.0000 5.4296" Properties=species:S:1:pos:R:3 pbc="T T T"
Tm 0.0000 0.0000 0.0000
Tm 0.0000 2.7148 2.7148
Tm 2.7148 0.0000 2.7148
Tm 2.7148 2.7148 0.0000
Ta 2.7148 2.7148 2.7148
```

=====

[3]
A relaxed structure of TmTa3, computed with PBE.

Computed properties:
Crystal system ... cubic
Total energy ... -38.6 eV for the cell shown
SG ... Fm-3m (225)
Formation energy ... 0.348 eV/atom

```
4
Lattice="0.0000 3.4197 3.4197 3.4197 0.0000 3.4197 3.4197 3.4197 0.0000" Properties=species:S:1:pos:R:3 pbc="T T T"
Tm 0.0000 0.0000 0.0000
Ta 1.7098 1.7098 1.7098
Ta 3.4197 3.4197 3.4197
Ta 5.1295 5.1295 5.1295
```

=====

[4]
A relaxed structure of TmTa4, computed with PBE.

Computed properties:
Crystal system ... cubic
Total energy ... -40.3 eV for the cell shown
SG ... Pm-3m (221)
Formation energy ... 2.311 eV/atom

```
5
Lattice="4.8041 0.0000 0.0000 0.0000 4.8041 0.0000 0.0000 0.0000 4.8041" Properties=species:S:1:pos:R:3 pbc="T T T"
Tm 0.0000 0.0000 0.0000
Ta 0.0000 0.0000 2.4020
Ta 0.0000 2.4020 0.0000
Ta 2.4020 0.0000 0.0000
Ta 2.4020 2.4020 2.4020
```

=====

[5]
A relaxed structure of TmTaV4, computed with PBE.

Computed properties:
Crystal system ... cubic
Total energy ... -51.6 eV for the cell shown
SG ... F-43m (216)
Formation energy ... 0.192 eV/atom

```
6
Lattice="0.0000 3.6592 3.6592 3.6592 0.0000 3.6592 3.6592 3.6592 0.0000" Properties=species:S:1:pos:R:3 pbc="T T T"
Tm 0.0000 0.0000 0.0000
Ta 1.8296 1.8296 1.8296
V 4.5746 2.7437 2.7437
V 2.7437 4.5746 2.7437
V 2.7437 2.7437 4.5746
V 4.5746 4.5746 4.5746
```

=====

[6]
A relaxed structure of TmTaV, computed with PBE.

Computed properties:
Crystal system ... orthorhombic
Total energy ... -97.7 eV for the cell shown
SG ... Fddd (70)
Formation energy ... 0.338 eV/atom

```
12
Lattice="0.0000 5.0555 10.1459 2.3758 0.0000 10.1459 2.3758 5.0555 0.0000" Properties=species:S:1:pos:R:3 pbc="T T T"
Tm 1.7819 0.2534 7.6094
Tm 2.9698 2.7812 12.6823
Tm 1.7819 7.3299 7.6094
Tm 2.9698 9.8576 12.6823
Ta 1.7819 3.7916 5.8503
Ta 1.7819 3.7916 9.3685
Ta 2.9698 6.3194 10.9232
Ta 2.9698 6.3194 14.4414
V 2.9698 6.3194 20.2883
V 1.7819 3.7916 0.0034
V 2.9698 6.3194 5.0763
V 1.7819 3.7916 15.2154
```

=====

[7]
A relaxed structure of TmTaW4, computed with PBE.

Computed properties:
Crystal system ... cubic
Total energy ... -67.9 eV for the cell shown
SG ... F-43m (216)
Formation energy ... 0.039 eV/atom

```
6
Lattice="0.0000 3.8162 3.8162 3.8162 0.0000 3.8162 3.8162 3.8162 0.0000" Properties=species:S:1:pos:R:3 pbc="T T T"
Tm 0.0000 0.0000 0.0000
Ta 1.9081 1.9081 1.9081
W 4.7708 2.8617 2.8617
W 2.8617 4.7708 2.8617
W 2.8617 2.8617 4.7708
W 4.7708 4.7708 4.7708
```

=====

[8]
A relaxed structure of YTm2Ta, computed with PBE.

Computed properties:
Crystal system ... trigonal
Total energy ... -24.9 eV for the cell shown
SG ... R-3m (166)
Formation energy ... 0.594 eV/atom

```
4
Lattice="1.6251 0.9383 11.6092 -1.6251 0.9383 11.6092 0.0000 -1.8765 11.6092" Properties=species:S:1:pos:R:3 pbc="T T T"
Y 0.0000 0.0000 0.0000
Tm 0.0000 0.0000 14.4952
Tm 0.0000 0.0000 20.3325
Ta 0.0000 0.0000 17.4138
```